one:
Compound: In5Pb3I12
Source: Alexandria via LeMat-Bulk
Functional: GGA-PBE
Structure: optimized geometry

## Properties
crystal system = hexagonal
total magnetization = 0.00 μB per cell
space group = No. 189

Structure (POSCAR):
```
In5Pb3I12
1.0
14.335 0.000 0.000
-7.168 12.415 0.000
0.000 0.000 4.713
In Pb I
5 3 12
Cartesian
-5.066 8.774 0.000
2.102 3.641 0.000
0.000 8.277 0.000
7.168 4.138 0.000
10.132 0.000 0.000
-2.293 3.971 2.357
4.586 0.000 2.357
4.875 8.444 2.357
-1.174 2.033 0.000
-3.390 5.872 0.000
2.347 0.000 0.000
-2.553 9.162 2.357
0.510 5.623 2.357
4.615 3.253 2.357
6.781 0.000 0.000
3.777 6.542 0.000
2.043 10.044 2.357
9.211 2.370 2.357
7.677 6.792 2.357
5.994 10.382 0.000
```

=====

two:
Compound: In5Pb3I12
Source: Alexandria via LeMat-Bulk
Functional: GGA-PBE
Structure: optimized geometry

## Properties
crystal system = cubic
total magnetization = 0.00 μB per cell
space group = No. 230

Structure (POSCAR):
```
In5Pb3I12
1.0
-9.783 9.783 9.783
9.783 -9.783 9.783
9.783 9.783 -9.783
In Pb I
20 12 48
Cartesian
0.000 0.000 0.000
4.891 4.891 -4.891
4.891 -4.891 4.891
9.783 0.000 0.000
14.674 2.446 0.000
9.783 -4.891 7.337
7.337 9.783 -4.891
7.337 0.000 4.891
4.891 7.337 0.000
9.783 4.891 2.446
-4.891 4.891 4.891
0.000 9.783 0.000
0.000 0.000 9.783
4.891 4.891 4.891
0.000 4.891 7.337
4.891 2.446 9.783
2.446 9.783 4.891
2.446 0.000 14.674
0.000 14.674 2.446
-4.891 7.337 9.783
4.891 2.446 0.000
9.783 4.891 -2.446
2.446 0.000 4.891
12.228 0.000 4.891
0.000 4.891 2.446
4.891 -2.446 9.783
4.891 12.228 0.000
9.783 4.891 7.337
-2.446 9.783 4.891
7.337 9.783 4.891
0.000 4.891 12.228
4.891 7.337 9.783
2.942 -0.441 1.569
11.732 6.461 -5.332
9.342 -1.569 2.942
15.115 -1.950 3.322
12.724 0.441 1.569
11.732 -3.322 5.332
1.569 2.942 -0.441
13.105 4.450 -1.950
6.461 5.332 -1.950
8.213 2.942 0.441
-0.441 1.569 2.942
5.332 -1.950 6.461
9.342 8.213 -2.942
5.332 1.950 3.322
8.213 -2.942 9.342
6.461 -5.332 11.732
3.322 5.332 1.950
11.352 6.841 0.441
2.942 9.342 -1.569
11.732 3.322 4.450
5.332 11.732 -3.322
9.342 1.569 6.841
1.950 3.322 5.332
2.942 0.441 8.213
6.841 9.342 1.569
7.833 6.461 4.450
0.441 8.213 2.942
4.450 -1.950 13.105
-1.950 6.461 5.332
6.841 0.441 11.352
-1.569 2.942 9.342
6.461 4.450 7.833
3.322 15.115 -1.950
1.569 12.724 0.441
4.450 7.833 6.461
0.441 1.569 12.724
4.450 11.732 3.322
10.224 8.213 6.841
1.569 6.841 9.342
3.322 4.450 11.732
-3.322 5.332 11.732
8.213 6.841 10.224
-1.950 13.105 4.450
-2.942 9.342 8.213
-5.332 11.732 6.461
0.441 11.352 6.841
-1.950 3.322 15.115
6.841 10.224 8.213
```

=====

Tell me which of them is the least stable. Sure, it is two.

=====

one:
Compound: InTePbI2
Source: Alexandria via LeMat-Bulk
Functional: GGA-PBE
Structure: optimized geometry

## Properties
crystal system = tetragonal
total magnetization = 0.00 μB per cell
space group = No. 123

Structure (POSCAR):
```
InTePbI2
1.0
5.848 0.000 0.000
0.000 5.848 0.000
0.000 0.000 5.835
In Te Pb I
1 1 1 2
Cartesian
0.000 0.000 0.000
0.000 0.000 2.918
2.924 2.924 2.918
0.000 2.924 0.000
2.924 0.000 0.000
```

=====

two:
Compound: InTePbI2
Source: Alexandria via LeMat-Bulk
Functional: GGA-PBE
Structure: optimized geometry

## Properties
crystal system = tetragonal
total magnetization = 0.61 μB per cell
space group = No. 123

Structure (POSCAR):
```
InTePbI2
1.0
6.286 0.000 0.000
0.000 6.286 0.000
0.000 0.000 6.007
In Te Pb I
1 1 1 2
Cartesian
0.000 0.000 0.000
3.143 3.143 0.000
3.143 3.143 3.003
0.000 3.143 3.003
3.143 0.000 3.003
```

=====

Tell me which of them is the least stable. Sure, it is one.